# 1
Nd2Ga7Au12: relaxed, PBE.

Structure (POSCAR):
```
Nd2Ga7Au12
1.0
-3.5660 -2.2788 -0.5175
5.4809 -7.4223 -5.0835
-1.1676 -0.5472 10.4551
Au Ga Nd
12 7 2
direct
0.7785 0.2599 0.1338
0.7785 0.8662 0.1260
0.7785 0.8740 0.7401
0.2421 0.6246 0.0737
0.2215 0.7401 0.8662
0.2421 0.9263 0.5509
0.2215 0.1338 0.8740
0.7579 0.3754 0.9263
0.2421 0.4491 0.3754
0.7579 0.0737 0.4491
0.7579 0.5509 0.6246
0.2215 0.1260 0.2599
0.2727 0.7070 0.5987
0.5000 0.0000 0.0000
0.2727 0.4013 0.1083
0.7273 0.2930 0.4013
0.7273 0.5987 0.8917
0.2727 0.8917 0.2930
0.7273 0.1083 0.7070
0.2410 0.3333 0.6667
0.7590 0.6667 0.3333
```

- E_tot: -3.725 eV per atom
- Energy of formation: -0.3887 eV per atom
- Total moment: 0.00 μB per formula unit
- Space group: P-3 (147)

***

# 2
Nd3GaAu3: relaxed, PBE.

Structure (POSCAR):
```
Nd3GaAu3
1.0
4.2792 0.0000 0.6446
2.1131 5.5069 0.4984
-0.0549 -0.0494 14.8907
Au Nd Ga
6 6 2
direct
0.0254 0.1829 0.7663
0.9746 0.8171 0.2337
0.8613 0.7329 0.5446
0.1218 0.8336 0.9228
0.1387 0.2671 0.4554
0.8782 0.1664 0.0772
0.4689 0.6720 0.3902
0.3998 0.2805 0.9199
0.6002 0.7195 0.0801
0.2538 0.2589 0.2335
0.5311 0.3280 0.6098
0.7462 0.7411 0.7665
0.7630 0.0845 0.3895
0.2370 0.9155 0.6105
```

- E_tot: -4.626 eV per atom
- Energy of formation: -0.7457 eV per atom
- Total moment: 0.00 μB per formula unit
- Space group: C2/m (12)